Density functional theory data (PBE-GGA) for a relaxed structure of Dy3ScHg2.

Output
Energy above the most stable polymorph in this dataset = 0 kJ/mol of formula units
Crystal system = orthorhombic

a b c (Å): 5.1092 9.1779 6.7753
angles (deg): 90.00 90.00 90.00
Space group Pmc2_1 (No. 26)
One atom of each set of equivalent atoms:
1 Dy 0.0000 0.0486 0.0000 (multiplicity 2)
2 Dy 0.0000 0.3327 0.3326 (multiplicity 2)
3 Dy 0.5000 0.1808 0.6916 (multiplicity 2)
4 Sc 0.5000 0.4508 0.0297 (multiplicity 2)
5 Hg 0.0000 0.3483 0.7866 (multiplicity 2)
6 Hg 0.5000 0.1540 0.2417 (multiplicity 2)

***

Density functional theory data (PBE-GGA) for a relaxed structure of Pm3DyO6.

Output
Formation energy without anion corrections = -77.7 kcal/mol of atoms
Energy above the most stable polymorph in this dataset = 83 kJ/mol of formula units
Crystal system = monoclinic

a b c (Å): 5.8453 6.0958 10.4682
angles (deg): 90.00 123.72 90.00
Space group P2_1/c (No. 14)
One atom of each set of equivalent atoms:
1 Pm 0.0000 0.0000 0.0000 (multiplicity 2)
2 Pm 0.2697 0.0504 0.7486 (multiplicity 4)
3 Dy 0.5000 0.0000 0.5000 (multiplicity 2)
4 O 0.1058 0.0789 0.2553 (multiplicity 4)
5 O 0.2711 0.6872 0.0783 (multiplicity 4)
6 O 0.3987 0.1957 0.0834 (multiplicity 4)

***

Density functional theory data (PBE-GGA) for a relaxed structure of TlGa2Au9.

Output
VASP energy = -38.45 eV per cell
Crystal system = hexagonal

a b c (Å): 8.9182 8.9182 3.3469
angles (deg): 90.00 90.00 120.00
Space group P6/mmm (No. 191)
One atom of each set of equivalent atoms:
1 Tl 0.0000 0.0000 0.0000 (multiplicity 1)
2 Ga 0.3333 0.6667 0.0000 (multiplicity 2)
3 Au 0.0000 0.5000 0.0000 (multiplicity 3)
4 Au 0.1855 0.3709 0.5000 (multiplicity 6)

***

Density functional theory data (PBE-GGA) for a relaxed structure of Ce3Sb4.

Output
Formation energy without anion corrections = -14.8 kcal/mol of atoms
Energy above the most stable polymorph in this dataset = 44 kJ/mol of formula units
Crystal system = cubic

a b c (Å): 6.2822 6.2822 6.2822
angles (deg): 90.00 90.00 90.00
Space group Pm-3m (No. 221)
One atom of each set of equivalent atoms:
1 Ce 0.0000 0.0000 0.5000 (multiplicity 3)
2 Sb 0.0000 0.0000 0.0000 (multiplicity 1)
3 Sb 0.0000 0.5000 0.5000 (multiplicity 3)

***

Density functional theory data (PBE-GGA) for a relaxed structure of Tb11Pm9Th4.

Output
VASP energy = -242.82 eV per cell
Crystal system = orthorhombic

a b c (Å): 16.4349 26.7319 3.6355
angles (deg): 90.00 90.00 90.00
Space group Cmmm (No. 65)
One atom of each set of equivalent atoms:
1 Tb 0.0000 0.0000 0.0000 (multiplicity 2)
2 Tb 0.0000 0.1849 0.0000 (multiplicity 4)
3 Tb 0.0000 0.3750 0.0000 (multiplicity 4)
4 Tb 0.2193 0.1838 0.0000 (multiplicity 8)
5 Tb 0.2205 0.0000 0.0000 (multiplicity 4)
6 Pm 0.0000 0.5000 0.5000 (multiplicity 2)
7 Pm 0.1076 0.2792 0.5000 (multiplicity 8)
8 Pm 0.1109 0.0921 0.5000 (multiplicity 8)
9 Th 0.1676 0.4134 0.5000 (multiplicity 8)

***

Density functional theory data (PBE-GGA) for a relaxed structure of CaCrNi.

Output
Energy above the most stable polymorph in this dataset = 5 kJ/mol of formula units
Crystal system = monoclinic

a b c (Å): 4.9598 4.4172 5.4879
angles (deg): 90.00 104.89 90.00
Space group P2_1/m (No. 11)
One atom of each set of equivalent atoms:
1 Ca 0.2272 0.2500 0.4221 (multiplicity 2)
2 Cr 0.3546 0.7500 0.9935 (multiplicity 2)
3 Ni 0.1090 0.2500 0.9104 (multiplicity 2)

***

Density functional theory data (PBE-GGA) for a relaxed structure of UBiS2.

Output
Formation energy without anion corrections = -10.6 kcal/mol of atoms
Energy above the most stable polymorph in this dataset = 112 kJ/mol of formula units
Crystal system = trigonal

a b c (Å): 5.2816 5.2816 11.0626
angles (deg): 90.00 90.00 120.00
Space group R-3m (No. 166, hexagonal axes)
One atom of each set of equivalent atoms:
1 U 0.0000 0.0000 0.0000 (multiplicity 3)
2 Bi 0.0000 0.0000 0.5000 (multiplicity 3)
3 S 0.0000 0.0000 0.2590 (multiplicity 6)

***

Density functional theory data (PBE-GGA) for a relaxed structure of La6HRu2Cl3.

Output
VASP energy = -138.91 eV per cell
Crystal system = monoclinic

a b c (Å): 6.9964 12.1310 8.0611
angles (deg): 90.00 106.93 90.00
Space group C2/m (No. 12)
One atom of each set of equivalent atoms:
1 La 0.2322 0.0000 0.2044 (multiplicity 4)
2 La 0.2362 0.3321 0.2048 (multiplicity 8)
3 H 0.0000 0.5000 0.0000 (multiplicity 2)
4 Ru 0.0000 0.1663 0.0000 (multiplicity 4)
5 Cl 0.0000 0.0000 0.5000 (multiplicity 2)
6 Cl 0.0000 0.3262 0.5000 (multiplicity 4)

***

Density functional theory data (PBE-GGA) for a relaxed structure of ErGa8Fe4.

Output
VASP energy = -132.61 eV per cell
Crystal system = tetragonal

a b c (Å): 8.6812 8.6812 5.0622
angles (deg): 90.00 90.00 90.00
Space group I4/mmm (No. 139)
One atom of each set of equivalent atoms:
1 Er 0.0000 0.0000 0.0000 (multiplicity 2)
2 Ga 0.0000 0.2206 0.5000 (multiplicity 8)
3 Ga 0.0000 0.3388 0.0000 (multiplicity 8)
4 Fe 0.2500 0.2500 0.2500 (multiplicity 8)

***

Density functional theory data (PBE-GGA) for a relaxed structure of TaTl2SnRh.

Output
VASP energy = -19.04 eV per cell
Crystal system = tetragonal

a b c (Å): 5.4105 5.4105 5.2792
angles (deg): 90.00 90.00 90.00
Space group P4/mmm (No. 123)
One atom of each set of equivalent atoms:
1 Ta 0.0000 0.0000 0.0000 (multiplicity 1)
2 Tl 0.0000 0.5000 0.5000 (multiplicity 2)
3 Sn 0.0000 0.0000 0.5000 (multiplicity 1)
4 Rh 0.5000 0.5000 0.0000 (multiplicity 1)

***

Density functional theory data (PBE-GGA) for a relaxed structure of MgMo2.

Output
Energy above the most stable polymorph in this dataset = 60 kJ/mol of formula units
Crystal system = hexagonal

a b c (Å): 8.0730 8.0730 2.6370
angles (deg): 90.00 90.00 120.00
Space group P-62m (No. 189)
One atom of each set of equivalent atoms:
1 Mg 0.0000 0.0000 0.0000 (multiplicity 1)
2 Mg 0.3333 0.6667 0.5000 (multiplicity 2)
3 Mo 0.0000 0.3227 0.5000 (multiplicity 3)
4 Mo 0.0000 0.6568 0.0000 (multiplicity 3)

***

Density functional theory data (PBE-GGA) for a relaxed structure of TmThMnNi.

Output
VASP energy = -107.88 eV per cell
Crystal system = cubic

a b c (Å): 6.9067 6.9067 6.9067
angles (deg): 90.00 90.00 90.00
Space group F-43m (No. 216)
One atom of each set of equivalent atoms:
1 Tm 0.0000 0.0000 0.0000 (multiplicity 4)
2 Th 0.0000 0.0000 0.5000 (multiplicity 4)
3 Mn 0.2500 0.2500 0.7500 (multiplicity 4)
4 Ni 0.2500 0.2500 0.2500 (multiplicity 4)